Record 1
Entry from Alexandria via LeMat-Bulk: crystalline TiCd2Cu2 at its relaxed geometry (PBE).

Results
Space group: P4/mbm
D(E_F) (states/eV/f.u.): 3.46
Offset from the most stable computed form (meV per atom): 63.4

a = 7.7557 Å, b = 7.7557 Å, c = 2.8224 Å
α = 90.00°, β = 90.00°, γ = 90.00°
With the nearest neighbours (Å) after each atom.
Sites, in units of the cell vectors:
Ti 0.0000 0.0000 0.0000  2 Ti 2.82, 4 Cd 3.03
Ti 0.5000 0.5000 0.0000  2 Ti 2.82, 4 Cd 3.03
Cd 0.1324 0.3676 0.0000  6 Cu 2.60-2.74, 3 Cd 2.82-2.90
Cd 0.3676 0.8676 0.0000  6 Cu 2.60-2.74, 3 Cd 2.82-2.90
Cd 0.6324 0.1324 0.0000  6 Cu 2.60-2.74, 3 Cd 2.82-2.90
Cd 0.8676 0.6324 0.0000  6 Cu 2.60-2.74, 3 Cd 2.82-2.90
Cu 0.1683 0.6683 0.5000  6 Cd 2.60-2.74, 2 Cu 2.82
Cu 0.3317 0.1683 0.5000  6 Cd 2.60-2.74, 2 Cu 2.82
Cu 0.6683 0.8317 0.5000  6 Cd 2.60-2.74, 2 Cu 2.82
Cu 0.8317 0.3317 0.5000  6 Cd 2.60-2.74, 2 Cu 2.82

Record 2
Entry from Alexandria via LeMat-Bulk: crystalline Eu2Co12P7 at its relaxed geometry (PBE).

Results
Energy (eV/atom): -7.53
Space group: P-6
D(E_F) (states/eV/f.u.): 33.71

a = 9.0853 Å, b = 9.0853 Å, c = 3.5872 Å
α = 90.00°, β = 90.00°, γ = 120.00°
With the nearest neighbours (Å) after each atom.
Sites, in units of the cell vectors:
Eu 0.0000 0.0000 0.0000  6 P 2.89, 12 Co 2.98-3.19
Eu 0.3333 0.6667 0.5000  6 P 2.86, 9 Co 2.96-3.13
Co 0.0486 0.2835 0.5000  4 P 2.26-2.36
Co 0.0987 0.7093 0.0000  4 P 2.27-2.30, 1 Co 2.51
Co 0.2349 0.9514 0.5000  4 P 2.26-2.36
Co 0.2907 0.3894 0.0000  4 P 2.27-2.30, 1 Co 2.51
Co 0.3969 0.1818 0.0000  4 P 2.13-2.29
Co 0.5355 0.4362 0.5000  3 P 2.22-2.43
Co 0.5638 0.0992 0.5000  3 P 2.22-2.43
Co 0.6106 0.9013 0.0000  4 P 2.27-2.30, 1 Co 2.51
Co 0.7165 0.7651 0.5000  4 P 2.26-2.36
Co 0.7850 0.6031 0.0000  4 P 2.13-2.29
Co 0.8182 0.2150 0.0000  4 P 2.13-2.29
Co 0.9008 0.4645 0.5000  3 P 2.22-2.43
P 0.0696 0.4439 0.0000  7 Co 2.19-2.43
P 0.2673 0.2254 0.5000  7 Co 2.22-2.36
P 0.3743 0.9304 0.0000  7 Co 2.19-2.43
P 0.5561 0.6257 0.0000  7 Co 2.19-2.43
P 0.6667 0.3333 0.0000  3 Co 2.13
P 0.7746 0.0419 0.5000  7 Co 2.22-2.36
P 0.9581 0.7327 0.5000  7 Co 2.22-2.36

Record 3
Entry from Alexandria via LeMat-Bulk: crystalline PrPa2RuC4 at its relaxed geometry (PBE).

Results
Energy (eV/atom): -8.88
Space group: Cmcm
D(E_F) (states/eV/f.u.): 5.26

a = 6.2312 Å, b = 6.2312 Å, c = 12.0632 Å
α = 90.00°, β = 90.00°, γ = 146.35°
With the nearest neighbours (Å) after each atom.
Sites, in units of the cell vectors:
Pr 0.1096 0.8904 0.7500  6 C 2.84-2.86, 1 Ru 3.15
Pr 0.8904 0.1096 0.2500  6 C 2.84-2.86, 1 Ru 3.15
Pa 0.3677 0.6323 0.5443  6 C 2.38-2.57
Pa 0.3677 0.6323 0.9557  6 C 2.38-2.57
Pa 0.6323 0.3677 0.0443  6 C 2.38-2.57
Pa 0.6323 0.3677 0.4557  6 C 2.38-2.57
Ru 0.1545 0.8455 0.2500  4 C 2.00-2.03
Ru 0.8455 0.1545 0.7500  4 C 2.00-2.03
C 0.0000 0.0000 0.0000  4 Pa 2.46
C 0.0000 0.0000 0.5000  4 Pa 2.46
C 0.2600 0.7400 0.1216  1 Ru 2.00
C 0.2600 0.7400 0.3784  1 Ru 2.00
C 0.4239 0.5761 0.7500  2 Ru 2.03
C 0.5761 0.4239 0.2500  2 Ru 2.03
C 0.7400 0.2600 0.6216  1 Ru 2.00
C 0.7400 0.2600 0.8784  1 Ru 2.00

Record 4
Entry from Alexandria via LeMat-Bulk: crystalline HgRhCl at its relaxed geometry (PBE).

Results
Space group: P3m1
D(E_F) (states/eV/f.u.): 3.27
Offset from the most stable computed form (meV per atom): 196.4

a = 4.3527 Å, b = 4.3527 Å, c = 3.5152 Å
α = 90.00°, β = 90.00°, γ = 120.00°
With the nearest neighbours (Å) after each atom.
Sites, in units of the cell vectors:
Hg 0.0000 0.0000 0.0000  6 Rh 3.06-3.07, 6 Cl 3.07
Rh 0.3333 0.6667 0.4982  3 Cl 2.51
Cl 0.6667 0.3333 0.5007  3 Rh 2.51

Record 5
Entry from Alexandria via LeMat-Bulk: crystalline Sm2Al3Zn9 at its relaxed geometry (PBE).

Results
Energy (eV/atom): -2.56
Space group: Cmcm
D(E_F) (states/eV/f.u.): 4.11

a = 7.7722 Å, b = 7.7722 Å, c = 9.3395 Å
α = 90.00°, β = 90.00°, γ = 60.69°
With the nearest neighbours (Å) after each atom.
Sites, in units of the cell vectors:
Sm 0.0001 0.3263 0.2500  11 Zn 3.09-3.34, 4 Al 3.36-3.45
Sm 0.9999 0.6737 0.7500  11 Zn 3.09-3.34, 4 Al 3.36-3.45
Sm 0.3263 0.0001 0.7500  11 Zn 3.09-3.34, 4 Al 3.36-3.45
Sm 0.6737 0.9999 0.2500  11 Zn 3.09-3.34, 4 Al 3.36-3.45
Al 0.0000 0.0000 0.0000  8 Zn 2.59-2.73
Al 0.0000 0.0000 0.5000  8 Zn 2.59-2.73
Al 0.3156 0.3156 0.0000  8 Zn 2.65-2.84
Al 0.3156 0.3156 0.5000  8 Zn 2.65-2.84
Al 0.6844 0.6844 0.0000  8 Zn 2.65-2.84
Al 0.6844 0.6844 0.5000  8 Zn 2.65-2.84
Zn 0.0247 0.6607 0.0882  3 Zn 2.61-2.82, 3 Al 2.65-2.69
Zn 0.0247 0.6607 0.4118  3 Zn 2.61-2.82, 3 Al 2.65-2.69
Zn 0.1419 0.8581 0.2500  2 Al 2.59, 6 Zn 2.61-2.72
Zn 0.3393 0.9753 0.0882  3 Zn 2.61-2.82, 3 Al 2.65-2.69
Zn 0.3393 0.9753 0.4118  3 Zn 2.61-2.82, 3 Al 2.65-2.69
Zn 0.3398 0.6602 0.5621  3 Al 2.73-2.84, 5 Zn 2.75-2.82
Zn 0.3398 0.6602 0.9379  3 Al 2.73-2.84, 5 Zn 2.75-2.82
Zn 0.3504 0.4570 0.2500  6 Zn 2.58-2.75, 2 Al 2.65
Zn 0.4570 0.3504 0.7500  6 Zn 2.58-2.75, 2 Al 2.65
Zn 0.5430 0.6496 0.2500  6 Zn 2.58-2.75, 2 Al 2.65
Zn 0.6496 0.5430 0.7500  6 Zn 2.58-2.75, 2 Al 2.65
Zn 0.6602 0.3398 0.0621  3 Al 2.73-2.84, 5 Zn 2.75-2.82
Zn 0.6602 0.3398 0.4379  3 Al 2.73-2.84, 5 Zn 2.75-2.82
Zn 0.6607 0.0247 0.5882  3 Zn 2.61-2.82, 3 Al 2.65-2.69
Zn 0.6607 0.0247 0.9118  3 Zn 2.61-2.82, 3 Al 2.65-2.69
Zn 0.8581 0.1419 0.7500  2 Al 2.59, 6 Zn 2.61-2.72
Zn 0.9753 0.3393 0.5882  3 Zn 2.61-2.82, 3 Al 2.65-2.69
Zn 0.9753 0.3393 0.9118  3 Zn 2.61-2.82, 3 Al 2.65-2.69

Record 6
Entry from Alexandria via LeMat-Bulk: crystalline Zr2SbP2 at its relaxed geometry (PBE).

Results
Space group: I4/mmm
D(E_F) (states/eV/f.u.): 2.62
Offset from the most stable computed form (meV per atom): 76.9

a = 7.6100 Å, b = 7.6100 Å, c = 7.6100 Å
α = 151.90°, β = 151.90°, γ = 40.16°
With the nearest neighbours (Å) after each atom.
Sites, in units of the cell vectors:
Zr 0.1144 0.1144 0.0000  4 P 2.68
Zr 0.8856 0.8856 0.0000  4 P 2.68
Sb 0.5000 0.5000 0.0000  8 Zr 3.08
P 0.2500 0.7500 0.5000  4 P 2.61, 4 Zr 2.68
P 0.7500 0.2500 0.5000  4 P 2.61, 4 Zr 2.68

Record 7
Entry from Alexandria via LeMat-Bulk: crystalline KTl2Cl8 at its relaxed geometry (PBE).

Results
Space group: P-1
Offset from the most stable computed form (meV per atom): 0.0

a = 7.5330 Å, b = 7.8532 Å, c = 7.9064 Å
α = 69.53°, β = 80.43°, γ = 66.97°
With the nearest neighbours (Å) after each atom.
Sites, in units of the cell vectors:
K 0.0000 0.0000 0.0000  8 Cl 3.22-3.50
Tl 0.3226 0.3959 0.7100  3 Cl 2.42-2.50
Tl 0.6774 0.6041 0.2900  3 Cl 2.42-2.50
Cl 0.1108 0.6874 0.7873  1 Tl 2.44
Cl 0.1962 0.2072 0.6110  1 Tl 2.42
Cl 0.3305 0.6391 0.3229  1 Tl 2.50
Cl 0.3629 0.1419 0.0526  1 Cl 2.65, 1 Tl 2.73
Cl 0.6371 0.8581 0.9474  1 Cl 2.65, 1 Tl 2.73
Cl 0.6695 0.3609 0.6771  1 Tl 2.50
Cl 0.8038 0.7928 0.3890  1 Tl 2.42
Cl 0.8892 0.3126 0.2127  1 Tl 2.44

Record 8
Entry from Alexandria via LeMat-Bulk: crystalline LiTe2C at its relaxed geometry (PBE).

Results
Energy (eV/atom): -3.80
Space group: I-42d
D(E_F) (states/eV/f.u.): 3.82

a = 6.4457 Å, b = 6.4457 Å, c = 6.4457 Å
α = 120.79°, β = 120.79°, γ = 88.63°
With the nearest neighbours (Å) after each atom.
Sites, in units of the cell vectors:
Li 0.0000 0.0000 0.0000  4 Te 2.82
Li 0.7500 0.2500 0.5000  4 Te 2.82
Te 0.1930 0.6250 0.0680  2 C 2.28
Te 0.3750 0.4430 0.5680  2 C 2.28
Te 0.5570 0.1250 0.9320  2 C 2.28
Te 0.8750 0.8070 0.4320  2 C 2.28
C 0.2500 0.7500 0.5000  4 Te 2.28
C 0.5000 0.5000 0.0000  4 Te 2.28

Record 9
Entry from Alexandria via LeMat-Bulk: crystalline KPm2YSe4 at its relaxed geometry (PBE).

Results
Energy (eV/atom): -5.61
Space group: P2/m
D(E_F) (states/eV/f.u.): 2.88

a = 7.3706 Å, b = 4.1885 Å, c = 7.4007 Å
α = 90.00°, β = 108.60°, γ = 90.00°
With the nearest neighbours (Å) after each atom.
Sites, in units of the cell vectors:
K 0.0000 0.0000 0.0000  6 Se 3.05-3.09
Pm 0.5000 0.0000 0.5000  6 Se 2.93-2.95
Pm 0.5000 0.5000 0.0000  6 Se 3.04-3.05
Y 0.0000 0.5000 0.5000  6 Se 2.96
Se 0.2476 0.0000 0.7391  3 Pm 2.95-3.05, 2 Y 2.96, 1 K 3.05
Se 0.2596 0.5000 0.2663  3 Pm 2.93-3.04, 1 Y 2.96, 2 K 3.09
Se 0.7404 0.5000 0.7337  3 Pm 2.93-3.04, 1 Y 2.96, 2 K 3.09
Se 0.7524 0.0000 0.2609  3 Pm 2.95-3.05, 2 Y 2.96, 1 K 3.05

Record 10
Entry from Alexandria via LeMat-Bulk: crystalline Co2SbIrBr at its relaxed geometry (PBE).

Results
Energy (eV/atom): -4.58
Space group: P4/mmm
D(E_F) (states/eV/f.u.): 7.19

a = 4.3482 Å, b = 4.3482 Å, c = 4.8828 Å
α = 90.00°, β = 90.00°, γ = 90.00°
With the nearest neighbours (Å) after each atom.
Sites, in units of the cell vectors:
Co 0.0000 0.5000 0.0000  2 Br 2.17
Co 0.5000 0.0000 0.0000  2 Br 2.17
Sb 0.0000 0.0000 0.5000  4 Ir 3.07, 8 Co 3.27
Ir 0.5000 0.5000 0.5000  2 Br 2.44
Br 0.5000 0.5000 0.0000  4 Co 2.17

Record 11
Entry from Alexandria via LeMat-Bulk: crystalline K3IrS4 at its relaxed geometry (PBE).

Results
Energy (eV/atom): -4.15
Space group: I4/mmm
D(E_F) (states/eV/f.u.): 6.20

a = 6.5522 Å, b = 6.5522 Å, c = 6.5522 Å
α = 107.32°, β = 107.32°, γ = 113.86°
With the nearest neighbours (Å) after each atom.
Sites, in units of the cell vectors:
K 0.0000 0.0000 0.0000  4 S 3.21, 2 Ir 3.58
K 0.2500 0.7500 0.5000  8 S 3.31, 2 K 3.58
K 0.7500 0.2500 0.5000  8 S 3.31, 2 K 3.58
Ir 0.5000 0.5000 0.0000  4 S 2.28
S 0.2923 0.2923 0.5847  1 Ir 2.28
S 0.2923 0.7077 0.0000  1 Ir 2.28
S 0.7077 0.2923 0.0000  1 Ir 2.28
S 0.7077 0.7077 0.4153  1 Ir 2.28

Record 12
Entry from Alexandria via LeMat-Bulk: crystalline BaGd2N at its relaxed geometry (PBE).

Results
Energy (eV/atom): -10.20
Space group: R-3m
D(E_F) (states/eV/f.u.): 3.55

a = 10.2925 Å, b = 10.2925 Å, c = 10.2925 Å
α = 20.18°, β = 20.18°, γ = 20.18°
With the nearest neighbours (Å) after each atom.
Sites, in units of the cell vectors:
Ba 0.0000 0.0000 0.0000  6 Ba 3.61, 2 Gd 3.71
Gd 0.1227 0.1227 0.1227  3 N 2.47
Gd 0.8773 0.8773 0.8773  3 N 2.47
N 0.5000 0.5000 0.5000  6 Gd 2.47